Density functional theory data (PBE-GGA) for crystalline SrLuAuSeS2 at its relaxed geometry.

## Properties
Total energy, eV per cell: -60.12
Crystal system: orthorhombic
Magnetization, μB/f.u.: 0.0

Cell: 7.073 7.073 10.531 Å, 90.00 90.00 147.04°
Fractional positions:
Sr  0.242  0.758  0.750
Sr  0.758  0.242  0.250
Lu  0.000  0.000  0.000
Lu  0.000  0.000  0.500
Au  0.451  0.549  0.250
Au  0.549  0.451  0.750
Se  0.087  0.913  0.250
Se  0.913  0.087  0.750
S  0.366  0.634  0.046
S  0.366  0.634  0.454
S  0.634  0.366  0.546
S  0.634  0.366  0.954